{"formula": "Ba2YZr", "functional": "SCAN", "state": "PBEsol geometry", "formation_energy_ev_per_atom": 0.603, "relative_energy_mev_per_atom": 21.5, "dft_energy_ev_per_atom": -33.81, "lattice": [[3.577, 0.051, 0.000], [-0.050, 3.577, 0.000], [0.000, 0.000, 10.993]], "species": ["Zr", "Ba", "Ba", "Y"], "fractional_positions": [[0.500, 0.500, 0.000], [0.000, 0.000, 0.232], [0.000, 0.000, 0.768], [0.500, 0.500, 0.500]]}

---

{"formula": "BeHgNF2", "functional": "SCAN", "state": "PBEsol geometry", "dft_energy_ev_per_atom": -18.89, "lattice": [[-2.013, -0.959, 2.348], [-1.637, -1.799, -2.138], [3.058, -3.970, 1.000]], "species": ["Be", "F", "N", "Hg", "F"], "fractional_positions": [[0.000, 0.000, 0.000], [0.000, 0.500, 0.000], [0.000, 0.000, 0.500], [0.500, 0.500, 0.500], [0.500, 0.000, 0.000]]}

---

{"formula": "TcCl2", "functional": "SCAN", "state": "PBEsol geometry", "dft_energy_ev_per_atom": -17.73, "lattice": [[-2.531, -0.481, -2.283], [1.201, -5.918, 2.511], [-4.449, 3.518, 4.191]], "species": ["Cl", "Cl", "Cl", "Cl", "Tc", "Tc"], "fractional_positions": [[0.654, 0.308, 0.775], [0.400, 0.800, 0.704], [0.346, 0.692, 0.225], [0.600, 0.200, 0.296], [0.982, 0.964, 0.341], [0.018, 0.036, 0.659]]}